[1]
Density functional theory data (meta-GGA SCAN) for a crystal of BaLiCoF6 relaxed with PBEsol.

Cell: 5.3813 8.5526 9.8772 Å, 90.00 90.00 90.27°
With the nearest neighbours (Å) after each atom.
Fractional positions:
Ba: 0.6914 0.9963 0.1926  9 F 2.60-2.89
Ba: 0.6914 0.4963 0.3074  9 F 2.60-2.89
Ba: 0.3086 0.0037 0.8074  9 F 2.60-2.89
Ba: 0.3086 0.5037 0.6926  9 F 2.60-2.89
Li: 0.7792 0.8288 0.5715  4 F 1.84-1.99
Li: 0.2208 0.6712 0.0715  4 F 1.84-1.99
Li: 0.2208 0.1712 0.4285  4 F 1.84-1.99
Li: 0.7792 0.3288 0.9285  4 F 1.84-1.99
Co: 0.2412 0.7649 0.4160  6 F 1.83-1.86
Co: 0.2412 0.2649 0.0840  6 F 1.83-1.86
Co: 0.7588 0.2351 0.5840  6 F 1.83-1.86
Co: 0.7588 0.7351 0.9160  6 F 1.83-1.86
F: 0.4618 0.7976 0.9906  1 Co 1.84, 1 Li 1.86
F: 0.9279 0.3108 0.1433  1 Co 1.83
F: 0.0721 0.1892 0.6433  1 Co 1.83
F: 0.0721 0.6892 0.8567  1 Co 1.83
F: 0.9279 0.8108 0.3567  1 Co 1.83
F: 0.8762 0.2091 0.4087  1 Co 1.86, 1 Li 1.89
F: 0.1238 0.2909 0.9087  1 Co 1.86, 1 Li 1.89
F: 0.1238 0.7909 0.5913  1 Co 1.86, 1 Li 1.89
F: 0.5382 0.7024 0.4906  1 Co 1.84, 1 Li 1.86
F: 0.6266 0.2595 0.7548  1 Co 1.84, 1 Li 1.99
F: 0.4618 0.2976 0.5094  1 Co 1.84, 1 Li 1.86
F: 0.5382 0.2024 0.0094  1 Co 1.84, 1 Li 1.86
F: 0.3734 0.7405 0.2452  1 Co 1.84, 1 Li 1.99
F: 0.6266 0.7595 0.7452  1 Co 1.84, 1 Li 1.99
F: 0.1645 0.5556 0.4149  1 Co 1.83
F: 0.3734 0.2405 0.2548  1 Co 1.84, 1 Li 1.99
F: 0.3332 0.4702 0.0974  1 Co 1.83, 1 Li 1.84
F: 0.8355 0.9444 0.9149  1 Co 1.83
F: 0.8355 0.4444 0.5851  1 Co 1.83
F: 0.1645 0.0556 0.0851  1 Co 1.83
F: 0.3332 0.9702 0.4026  1 Co 1.83, 1 Li 1.84
F: 0.6668 0.5298 0.9026  1 Co 1.83, 1 Li 1.84
F: 0.6668 0.0298 0.5974  1 Co 1.83, 1 Li 1.84
F: 0.8762 0.7091 0.0913  1 Co 1.86, 1 Li 1.89

Calculated values
crystal system	monoclinic
D(E_F)	0.0000	states/eV/atom

[2]
Density functional theory data (meta-GGA SCAN) for a crystal of BaCoO2F relaxed with PBEsol.

Cell: 3.8203 3.8203 4.2890 Å, 90.00 90.00 90.00°
With the nearest neighbours (Å) after each atom.
Fractional positions:
Co: 0.0000 0.0000 0.0000  4 O 1.91
Ba: 0.5000 0.5000 0.5000  4 F 2.70, 8 O 2.87
O: 0.0000 0.5000 0.0000  2 Co 1.91
O: 0.5000 0.0000 0.0000  2 Co 1.91
F: 0.0000 0.0000 0.5000  2 Co 2.14

Calculated values
crystal system	tetragonal
D(E_F)	0.4101	states/eV/atom

no.,formation energy from raw total energies (meV per atom)
1,-3125
2,-2368